1.
A plane-wave DFT calculation with PBE was carried out for crystalline NaAgBiCl6 at its relaxed geometry.

Values from the calculation:
Total moment ... 1.11 μB per formula unit
Raw total energy ... -54.744 eV for the cell shown
Density of states at the Fermi level ... 13.3 states/eV/cell
Formation energy (no corrections) ... -8.2 eV per formula unit

```
data_NaAgBiCl6
_cell_length_a 6.8749
_cell_length_b 6.8749
_cell_length_c 12.5530
_cell_angle_alpha 90.00
_cell_angle_beta 90.00
_cell_angle_gamma 120.00
_space_group_name_H-M_alt 'P -3 1 c'
_space_group_IT_number 163
_space_group_name_Hall '-P 3 2c'
loop_
_atom_site_label
_atom_site_type_symbol
_atom_site_fract_x
_atom_site_fract_y
_atom_site_fract_z
Na1 Na 0.0000 0.0000 0.0000
Ag1 Ag 0.3333 0.6667 0.2500
Bi1 Bi 0.3333 0.6667 0.7500
Cl1 Cl 0.0107 0.3591 0.1292
```


2.
A plane-wave DFT calculation with PBE was carried out for crystalline NaAg2BiCl at its relaxed geometry.

Values from the calculation:
Total moment ... 0.00 μB per formula unit
Raw total energy ... -11.243 eV for the cell shown
Density of states at the Fermi level ... 3.2 states/eV/cell
Formation energy (no corrections) ... 1.5 eV per formula unit

```
data_NaAg2BiCl
_cell_length_a 5.104
_cell_length_b 5.104
_cell_length_c 5.942
_cell_angle_alpha 90.00
_cell_angle_beta 90.00
_cell_angle_gamma 90.00
_space_group_name_H-M_alt 'P 4/m m m'
_space_group_IT_number 123
_space_group_name_Hall '-P 4 2'
loop_
_atom_site_label
_atom_site_type_symbol
_atom_site_fract_x
_atom_site_fract_y
_atom_site_fract_z
Na1 Na 0.000 0.000 0.000
Ag1 Ag 0.000 0.500 0.500
Bi1 Bi 0.500 0.500 0.000
Cl1 Cl 0.500 0.500 0.500
```


3.
A plane-wave DFT calculation with PBE was carried out for crystalline NaAg2BiCl6 at its relaxed geometry.

Values from the calculation:
Total moment ... 0.00 μB per formula unit
Raw total energy ... -93.987 eV for the cell shown
Density of states at the Fermi level ... 0.0 states/eV/cell
Formation energy (no corrections) ... -9.3 eV per formula unit

```
data_NaAg2BiCl6
_cell_length_a 7.0426
_cell_length_b 7.0426
_cell_length_c 18.8756
_cell_angle_alpha 90.00
_cell_angle_beta 90.00
_cell_angle_gamma 120.00
_space_group_name_H-M_alt 'R 3'
_space_group_IT_number 146
_space_group_name_Hall 'R 3'
loop_
_atom_site_label
_atom_site_type_symbol
_atom_site_fract_x
_atom_site_fract_y
_atom_site_fract_z
Na1 Na 0.0000 0.0000 0.0000
Ag1 Ag 0.0000 0.0000 0.2894
Ag2 Ag 0.0000 0.0000 0.7988
Bi1 Bi 0.0000 0.0000 0.4927
Cl1 Cl 0.0093 0.7042 0.4017
Cl2 Cl 0.0233 0.3503 0.5666
```


4.
A plane-wave DFT calculation with PBE was carried out for crystalline AgBiClO2 at its relaxed geometry.

Values from the calculation:
Total moment ... 0.00 μB per formula unit
Raw total energy ... -87.992 eV for the cell shown
Density of states at the Fermi level ... 7.9 states/eV/cell
Formation energy (no corrections) ... -3.5 eV per formula unit

```
data_AgBiClO2
_cell_length_a 5.799
_cell_length_b 11.764
_cell_length_c 5.540
_cell_angle_alpha 90.00
_cell_angle_beta 90.00
_cell_angle_gamma 90.00
_space_group_name_H-M_alt 'C m c m'
_space_group_IT_number 63
_space_group_name_Hall '-C 2c 2'
loop_
_atom_site_label
_atom_site_type_symbol
_atom_site_fract_x
_atom_site_fract_y
_atom_site_fract_z
Ag1 Ag 0.000 0.047 0.250
Bi1 Bi 0.000 0.390 0.250
Cl1 Cl 0.000 0.235 0.750
O1 O 0.222 0.500 0.000
```


Question: Number 2 is which compound?
Answer: NaAg2BiCl


Question: Which formula does entry 3 have?
Answer: NaAg2BiCl6


Question: What is the density of states at the Fermi level in the fourth record?
Answer: 7.9 states/eV/cell


Question: The highest density of states at the Fermi level belongs to which entry?
Answer: NaAgBiCl6